(1)
Below is crystalline HfTcHRh2 at its relaxed geometry, with properties calculated at the PBE level.

Calculated values
* calculated volume: 12.87 A^3/atom
* size of the total moment: 0.0 μB per formula unit

abc: 3.9416 3.9416 4.1434
angles: 90.00 90.00 90.00
With the nearest neighbours (Å) after each atom.
Fractional positions:
Rh1 0.0000 0.5000 0.0000  2 H 1.97
Rh2 0.5000 0.0000 0.0000  2 H 1.97
Hf1 0.0000 0.0000 0.5000  2 H 2.07
Tc1 0.5000 0.5000 0.5000  4 Hf 2.79, 8 Rh 2.86
H1 0.0000 0.0000 0.0000  4 Rh 1.97, 2 Hf 2.07

(2)
Below is crystalline HfTcHRh2 at its relaxed geometry, with properties calculated at the PBE level.

Calculated values
* calculated volume: 12.87 A^3/atom
* size of the total moment: 0.0 μB per formula unit

abc: 3.9858 3.9858 4.0499
angles: 90.00 90.00 90.00
With the nearest neighbours (Å) after each atom.
Fractional positions:
Rh1 0.0000 0.5000 0.0000  2 H 1.99
Rh2 0.5000 0.0000 0.0000  2 H 1.99
Hf1 0.5000 0.5000 0.5000  4 Tc 2.82, 8 Rh 2.84
Tc1 0.0000 0.0000 0.5000  2 H 2.02
H1 0.0000 0.0000 0.0000  4 Rh 1.99, 2 Tc 2.02

(2) ends up most stable, edging out the next structure by 5.4 kJ/mol of atoms.

(1)
Below is crystalline Hf2VHRh at its relaxed geometry, with properties calculated at the PBE level.

Calculated values
* calculated volume: 14.84 A^3/atom
* size of the total moment: 2.0 μB per formula unit

abc: 4.5547 4.5547 3.5775
angles: 90.00 90.00 90.00
With the nearest neighbours (Å) after each atom.
Fractional positions:
Rh1 0.0000 0.0000 0.5000  2 H 1.79
Hf1 0.0000 0.5000 0.0000  2 H 2.28
Hf2 0.5000 0.0000 0.0000  2 H 2.28
H1 0.0000 0.0000 0.0000  2 Rh 1.79
V1 0.5000 0.5000 0.5000  8 Hf 2.90, 4 Rh 3.22

(2)
Below is crystalline Hf2VHRh at its relaxed geometry, with properties calculated at the PBE level.

Calculated values
* calculated volume: 14.36 A^3/atom
* size of the total moment: 0.8 μB per formula unit

abc: 4.5614 4.5614 3.4505
angles: 90.00 90.00 90.00
With the nearest neighbours (Å) after each atom.
Fractional positions:
Rh1 0.5000 0.5000 0.5000  8 Hf 2.86
Hf1 0.0000 0.5000 0.0000  2 H 2.28
Hf2 0.5000 0.0000 0.0000  2 H 2.28
H1 0.0000 0.0000 0.0000  2 V 1.73
V1 0.0000 0.0000 0.5000  2 H 1.73

(2) ends up most stable, edging out the next structure by 9.7 kJ/mol of atoms.

(1)
Below is crystalline Hf2HRhW at its relaxed geometry, with properties calculated at the PBE level.

Calculated values
* calculated volume: 14.89 A^3/atom
* size of the total moment: 0.0 μB per formula unit

abc: 4.6063 4.6063 3.5086
angles: 90.00 90.00 90.00
With the nearest neighbours (Å) after each atom.
Fractional positions:
Rh1 0.5000 0.5000 0.5000  8 Hf 2.90
Hf1 0.0000 0.5000 0.0000  2 H 2.30
Hf2 0.5000 0.0000 0.0000  2 H 2.30
W1 0.0000 0.0000 0.5000  2 H 1.75
H1 0.0000 0.0000 0.0000  2 W 1.75

(2)
Below is crystalline Hf2HRhW at its relaxed geometry, with properties calculated at the PBE level.

Calculated values
* calculated volume: 16.82 A^3/atom
* size of the total moment: 0.0 μB per formula unit

abc: 5.1553 3.1647 5.1553
angles: 90.00 90.00 90.00
With the nearest neighbours (Å) after each atom.
Fractional positions:
Rh1 0.0000 0.0000 0.0000  2 H 1.58
Hf1 0.0000 0.0000 0.5000  2 Rh 2.58
Hf2 0.5000 0.0000 0.0000  2 Rh 2.58
W1 0.5000 0.5000 0.5000  8 Hf 3.02, 2 W 3.16
H1 0.0000 0.5000 0.0000  2 Rh 1.58

(1) ends up most stable, edging out the next structure by 70.6 kJ/mol of atoms.

(1)
Below is crystalline HfZnHRh2 at its relaxed geometry, with properties calculated at the PBE level.

Calculated values
* calculated volume: 12.90 A^3/atom
* size of the total moment: 0.0 μB per formula unit

abc: 4.1480 4.1480 3.7493
angles: 90.00 90.00 90.00
With the nearest neighbours (Å) after each atom.
Fractional positions:
Rh1 0.0000 0.5000 0.0000  2 H 2.07
Rh2 0.5000 0.0000 0.0000  2 H 2.07
Zn1 0.0000 0.0000 0.5000  2 H 1.87
Hf1 0.5000 0.5000 0.5000  8 Rh 2.80, 4 Zn 2.93
H1 0.0000 0.0000 0.0000  2 Zn 1.87, 4 Rh 2.07

(2)
Below is crystalline HfZnHRh2 at its relaxed geometry, with properties calculated at the PBE level.

Calculated values
* calculated volume: 12.97 A^3/atom
* size of the total moment: 0.0 μB per formula unit

abc: 4.0720 4.0720 3.9112
angles: 90.00 90.00 90.00
With the nearest neighbours (Å) after each atom.
Fractional positions:
Rh1 0.0000 0.5000 0.0000  2 H 2.04
Rh2 0.5000 0.0000 0.0000  2 H 2.04
Zn1 0.5000 0.5000 0.5000  8 Rh 2.82, 4 Hf 2.88
Hf1 0.0000 0.0000 0.5000  2 H 1.96
H1 0.0000 0.0000 0.0000  2 Hf 1.96, 4 Rh 2.04

(2) ends up most stable, edging out the next structure by 4.4 kJ/mol of atoms.

(1)
Below is crystalline Hf2ZnHRh at its relaxed geometry, with properties calculated at the PBE level.

Calculated values
* calculated volume: 14.47 A^3/atom
* size of the total moment: 0.0 μB per formula unit

abc: 4.3298 4.3298 3.8591
angles: 90.00 90.00 90.00
With the nearest neighbours (Å) after each atom.
Fractional positions:
Rh1 0.5000 0.5000 0.5000  8 Hf 2.90, 4 Zn 3.06
Zn1 0.0000 0.0000 0.5000  2 H 1.93
Hf1 0.0000 0.5000 0.0000  2 H 2.16
Hf2 0.5000 0.0000 0.0000  2 H 2.16
H1 0.0000 0.0000 0.0000  2 Zn 1.93

(2)
Below is crystalline Hf2ZnHRh at its relaxed geometry, with properties calculated at the PBE level.

Calculated values
* calculated volume: 14.72 A^3/atom
* size of the total moment: 0.0 μB per formula unit

abc: 4.4943 4.4943 3.6429
angles: 90.00 90.00 90.00
With the nearest neighbours (Å) after each atom.
Fractional positions:
Rh1 0.0000 0.0000 0.5000  2 H 1.82
Zn1 0.5000 0.5000 0.5000  8 Hf 2.89, 4 Rh 3.18
Hf1 0.0000 0.5000 0.0000  2 H 2.25
Hf2 0.5000 0.0000 0.0000  2 H 2.25
H1 0.0000 0.0000 0.0000  2 Rh 1.82

(2) ends up most stable, edging out the next structure by 4.8 kJ/mol of atoms.

(1)
Below is crystalline HfTcHRu2 at its relaxed geometry, with properties calculated at the PBE level.

Calculated values
* calculated volume: 12.88 A^3/atom
* size of the total moment: 0.0 μB per formula unit

abc: 3.9688 3.9688 4.0885
angles: 90.00 90.00 90.00
With the nearest neighbours (Å) after each atom.
Fractional positions:
Ru1 0.0000 0.5000 0.0000  2 H 1.98
Ru2 0.5000 0.0000 0.0000  2 H 1.98
Hf1 0.0000 0.0000 0.5000  2 H 2.04
Tc1 0.5000 0.5000 0.5000  4 Hf 2.81, 8 Ru 2.85
H1 0.0000 0.0000 0.0000  4 Ru 1.98, 2 Hf 2.04

(2)
Below is crystalline HfTcHRu2 at its relaxed geometry, with properties calculated at the PBE level.

Calculated values
* calculated volume: 12.87 A^3/atom
* size of the total moment: 0.0 μB per formula unit

abc: 4.0177 4.0177 3.9879
angles: 90.00 90.00 90.00
With the nearest neighbours (Å) after each atom.
Fractional positions:
Ru1 0.0000 0.5000 0.0000  2 H 2.01
Ru2 0.5000 0.0000 0.0000  2 H 2.01
Hf1 0.5000 0.5000 0.5000  8 Ru 2.83, 4 Tc 2.84
Tc1 0.0000 0.0000 0.5000  2 H 1.99
H1 0.0000 0.0000 0.0000  2 Tc 1.99, 4 Ru 2.01

(2) ends up most stable, edging out the next structure by 3.8 kJ/mol of atoms.

(1)
Below is crystalline HfTc2HRu at its relaxed geometry, with properties calculated at the PBE level.

Calculated values
* calculated volume: 13.05 A^3/atom
* size of the total moment: 0.0 μB per formula unit

abc: 4.0003 4.0003 4.0788
angles: 90.00 90.00 90.00
With the nearest neighbours (Å) after each atom.
Fractional positions:
Ru1 0.0000 0.0000 0.5000  2 H 2.04
Hf1 0.5000 0.5000 0.5000  4 Ru 2.83, 8 Tc 2.86
Tc1 0.0000 0.5000 0.0000  2 H 2.00
Tc2 0.5000 0.0000 0.0000  2 H 2.00
H1 0.0000 0.0000 0.0000  4 Tc 2.00, 2 Ru 2.04

(2)
Below is crystalline HfTc2HRu at its relaxed geometry, with properties calculated at the PBE level.

Calculated values
* calculated volume: 13.10 A^3/atom
* size of the total moment: 0.0 μB per formula unit

abc: 3.9426 4.2135 3.9426
angles: 90.00 90.00 90.00
With the nearest neighbours (Å) after each atom.
Fractional positions:
Ru1 0.5000 0.5000 0.5000  4 Hf 2.79, 8 Tc 2.89
Hf1 0.0000 0.5000 0.0000  2 H 2.11
Tc1 0.0000 0.0000 0.5000  2 H 1.97
Tc2 0.5000 0.0000 0.0000  2 H 1.97
H1 0.0000 0.0000 0.0000  4 Tc 1.97, 2 Hf 2.11

(1) ends up most stable, edging out the next structure by 1.5 kJ/mol of atoms.